Here is DyHoSc2 after structural relaxation from Alexandria. Energies are from PBE-GGA.

Summary:
As for the final energy: -21.64 eV/cell. For the energy above the lowest structure with this stoichiometry, the calculation gives 8.9 meV per atom. The calculation puts the energy of formation from the pure elements at 52 meV/atom.

Cell lengths 4.6760, 4.8679, 4.8679 Å; angles 90.00, 90.00, 90.00 degrees
Atoms (fractional coordinates):
Sc1 0.0000 0.0000 0.5000
Sc2 0.0000 0.5000 0.0000
Ho1 0.5000 0.0000 0.0000
Dy1 0.5000 0.5000 0.5000



Here is DyHo6Sc2 after structural relaxation from Alexandria. Energies are from PBE-GGA.

Summary:
As for the final energy: -88.05 eV/cell. For the energy above the lowest structure with this stoichiometry, the calculation gives 0.0 meV per atom. The calculation puts the energy of formation from the pure elements at 78 meV/atom.

Cell lengths 10.8109, 9.2909, 9.2909 Å; angles 75.37, 50.41, 50.41 degrees
Atoms (fractional coordinates):
Dy1 0.2500 0.3327 0.6673
Dy2 0.7500 0.6673 0.3327
Ho1 0.6062 0.3918 0.5907
Ho2 0.8938 0.4093 0.6082
Ho3 0.3938 0.6082 0.4093
Ho4 0.1062 0.5907 0.3918
Ho5 0.7789 0.0147 0.3335
Ho6 0.7211 0.6665 0.9853
Ho7 0.2211 0.9853 0.6665
Ho8 0.2789 0.3335 0.0147
Ho9 0.3183 0.7171 0.9779
Ho10 0.1817 0.0221 0.2829
Ho11 0.6817 0.2829 0.0221
Ho12 0.8183 0.9779 0.7171
Sc1 0.0238 0.7562 0.9167
Sc2 0.4762 0.0833 0.2438
Sc3 0.9762 0.2438 0.0833
Sc4 0.5238 0.9167 0.7562



Here is Dy8Ho3Sc2 after structural relaxation from Alexandria. Energies are from PBE-GGA.

Summary:
As for the final energy: -60.21 eV/cell. For the energy above the lowest structure with this stoichiometry, the calculation gives 0.0 meV per atom. The calculation puts the energy of formation from the pure elements at 231 meV/atom.

Cell lengths 6.6501, 9.3010, 9.3010 Å; angles 58.20, 62.89, 62.89 degrees
Atoms (fractional coordinates):
Dy1 0.0374 0.5914 0.5914
Dy2 0.9626 0.4086 0.4086
Dy3 0.0139 0.1901 0.1901
Dy4 0.9861 0.8099 0.8099
Dy5 0.5488 0.5605 0.1983
Dy6 0.5488 0.1983 0.5605
Dy7 0.4512 0.8017 0.4395
Dy8 0.4512 0.4395 0.8017
Ho1 0.5000 0.0000 0.0000
Ho2 0.0000 0.1706 0.8294
Ho3 0.0000 0.8294 0.1706
Sc1 0.5183 0.2015 0.2015
Sc2 0.4817 0.7985 0.7985



Here is Dy5Ho2Sc2 after structural relaxation from Alexandria. Energies are from PBE-GGA.

Summary:
As for the final energy: -43.87 eV/cell. For the energy above the lowest structure with this stoichiometry, the calculation gives 0.0 meV per atom. The calculation puts the energy of formation from the pure elements at 106 meV/atom.

Cell lengths 3.4298, 8.9376, 11.2300 Å; angles 53.83, 81.22, 78.94 degrees
Atoms (fractional coordinates):
Dy1 0.3412 0.1018 0.2159
Dy2 0.6588 0.8982 0.7841
Dy3 0.1683 0.5626 0.1008
Dy4 0.8317 0.4374 0.8992
Dy5 0.0000 0.0000 0.0000
Ho1 0.1462 0.2376 0.4699
Ho2 0.8538 0.7624 0.5301
Sc1 0.4884 0.3467 0.6766
Sc2 0.5116 0.6533 0.3234



Here is Dy5Ho6Sc after structural relaxation from Alexandria. Energies are from PBE-GGA.

Summary:
As for the final energy: -56.48 eV/cell. The calculation puts the energy of formation from the pure elements at 28 meV/atom.

Cell lengths 4.9556, 9.9295, 9.2936 Å; angles 122.29, 105.46, 90.00 degrees
Atoms (fractional coordinates):
Sc1 0.0000 0.0000 0.0000
Ho1 0.8342 0.5863 0.6684
Ho2 0.8342 0.0821 0.6684
Ho3 0.5000 0.7538 0.0000
Ho4 0.5000 0.2462 0.0000
Ho5 0.1658 0.9179 0.3316
Ho6 0.1658 0.4137 0.3316
Dy1 0.6649 0.1649 0.3297
Dy2 0.3340 0.3340 0.6681
Dy3 0.0000 0.5000 0.0000
Dy4 0.6660 0.6660 0.3319
Dy5 0.3351 0.8351 0.6703



Here is Dy2Ho6Sc5 after structural relaxation from Alexandria. Energies are from PBE-GGA.

Summary:
As for the final energy: -133.61 eV/cell. The calculation puts the energy of formation from the pure elements at 117 meV/atom.

Cell lengths 3.4647, 11.3215, 19.2502 Å; angles 90.00, 90.00, 90.00 degrees
Atoms (fractional coordinates):
Dy1 0.0000 0.3465 0.2853
Dy2 0.0000 0.6535 0.7147
Dy3 0.0000 0.8465 0.2147
Dy4 0.0000 0.1535 0.7853
Ho1 0.0000 0.0882 0.3662
Ho2 0.0000 0.9118 0.6338
Ho3 0.0000 0.5882 0.1338
Ho4 0.0000 0.4118 0.8662
Ho5 0.5000 0.3274 0.1243
Ho6 0.5000 0.6726 0.8757
Ho7 0.5000 0.8274 0.3757
Ho8 0.5000 0.1726 0.6243
Ho9 0.0000 0.5568 0.4199
Ho10 0.0000 0.4432 0.5801
Ho11 0.0000 0.0568 0.0801
Ho12 0.0000 0.9432 0.9199
Sc1 0.5000 0.3021 0.4481
Sc2 0.5000 0.6979 0.5519
Sc3 0.5000 0.8021 0.0519
Sc4 0.5000 0.1979 0.9481
Sc5 0.5000 0.6048 0.2768
Sc6 0.5000 0.3952 0.7232
Sc7 0.5000 0.1048 0.2232
Sc8 0.5000 0.8952 0.7768
Sc9 0.5000 0.5000 0.0000
Sc10 0.5000 0.0000 0.5000



Here is Dy5HoSc4 after structural relaxation from Alexandria. Energies are from PBE-GGA.

Summary:
As for the final energy: -52.45 eV/cell. For the energy above the lowest structure with this stoichiometry, the calculation gives 0.0 meV per atom. The calculation puts the energy of formation from the pure elements at 47 meV/atom.

Cell lengths 3.4721, 3.4721, 23.5909 Å; angles 90.00, 90.00, 90.00 degrees
Atoms (fractional coordinates):
Dy1 0.5000 0.5000 0.1072
Dy2 0.5000 0.5000 0.3040
Dy3 0.5000 0.5000 0.5000
Dy4 0.5000 0.5000 0.6960
Dy5 0.5000 0.5000 0.8928
Ho1 0.0000 0.0000 0.0000
Sc1 0.0000 0.0000 0.2057
Sc2 0.0000 0.0000 0.4019
Sc3 0.0000 0.0000 0.5981
Sc4 0.0000 0.0000 0.7943



Here is Dy3HoSc5 after structural relaxation from Alexandria. Energies are from PBE-GGA.

Summary:
As for the final energy: -94.89 eV/cell. The calculation puts the energy of formation from the pure elements at 288 meV/atom.

Cell lengths 8.3330, 8.3330, 9.2322 Å; angles 116.83, 116.83, 90.00 degrees
Atoms (fractional coordinates):
Dy1 0.6188 0.1188 0.0000
Dy2 0.3812 0.8812 0.0000
Dy3 0.8812 0.6188 0.0000
Dy4 0.1188 0.3812 0.0000
Dy5 0.2500 0.2500 0.5000
Dy6 0.7500 0.7500 0.5000
Ho1 0.7500 0.2500 0.5000
Ho2 0.2500 0.7500 0.5000
Sc1 0.0716 0.5716 0.7299
Sc2 0.6583 0.1583 0.7299
Sc3 0.1583 0.0716 0.7299
Sc4 0.5716 0.6583 0.7299
Sc5 0.9284 0.4284 0.2701
Sc6 0.3417 0.8417 0.2701
Sc7 0.8417 0.9284 0.2701
Sc8 0.4284 0.3417 0.2701
Sc9 0.5000 0.5000 0.0000
Sc10 0.0000 0.0000 0.0000